VASP calculation (PBE-GGA) on a geometry-optimized HBrF2 structure.

Summary:
E above lowest polymorph ... 0.0 meV per atom

Lattice parameters (Å, degrees): 3.9269 7.3917 9.3306 90.00 90.00 90.00
Closest atoms and distances in Å follow each position.
Fractional positions:
H 0.1067 0.4945 0.9909  1 F 1.03
H 0.6067 0.0055 0.4909  1 F 1.03
H 0.6067 0.5055 0.0091  1 F 1.03
H 0.1067 0.9945 0.5091  1 F 1.03
Br 0.9996 0.0657 0.0883  1 F 1.88
Br 0.4996 0.9343 0.9117  1 F 1.88
Br 0.4995 0.4343 0.5883  1 F 1.88
Br 0.9995 0.5657 0.4117  1 F 1.88
F 0.3282 0.4550 0.9407  1 H 1.03
F 0.8282 0.5450 0.0593  1 H 1.03
F 0.8282 0.0450 0.4407  1 H 1.03
F 0.3282 0.9550 0.5593  1 H 1.03
F 0.3186 0.6678 0.2855  1 Br 1.88
F 0.3186 0.1678 0.2145  1 Br 1.88
F 0.8186 0.8322 0.7855  1 Br 1.88
F 0.8186 0.3322 0.7145  1 Br 1.88